The following is a PBE calculation of crystalline Ce4ErRu5 at its relaxed geometry, from Alexandria.

a = 6.746 Å, b = 6.746 Å, c = 6.746 Å
α = 100.32°, β = 100.32°, γ = 129.92°
Atoms (fractional coordinates):
Ce: 0.096 0.692 0.788
Ce: 0.308 0.096 0.403
Ce: 0.692 0.904 0.597
Ce: 0.904 0.308 0.212
Er: 0.347 0.347 0.000
Ru: 0.291 0.479 0.647
Ru: 0.479 0.833 0.188
Ru: 0.644 0.291 0.812
Ru: 0.833 0.644 0.353
Ru: 0.855 0.855 0.000

Summary:
Energy of formation from the pure elements: -0.201 eV per atom

The following is a PBE calculation of crystalline SbRh2Br at its relaxed geometry, from Alexandria.

a = 7.893 Å, b = 7.893 Å, c = 7.893 Å
α = 24.84°, β = 24.84°, γ = 24.84°
Atoms (fractional coordinates):
Sb: 0.000 0.000 0.000
Rh: 0.256 0.256 0.256
Rh: 0.744 0.744 0.744
Br: 0.500 0.500 0.500

Summary:
Energy relative to the lowest polymorph listed for this composition: 175 meV per atom

The following is a PBE calculation of crystalline Pa2Zn6Cu at its relaxed geometry, from Alexandria.

a = 5.452 Å, b = 5.452 Å, c = 5.972 Å
α = 90.28°, β = 90.28°, γ = 64.08°
Atoms (fractional coordinates):
Pa: 0.138 0.138 0.104
Pa: 0.862 0.862 0.896
Zn: 0.154 0.646 0.344
Zn: 0.330 0.330 0.682
Zn: 0.354 0.846 0.656
Zn: 0.646 0.154 0.344
Zn: 0.670 0.670 0.318
Zn: 0.846 0.354 0.656
Cu: 0.500 0.500 0.000

Summary:
Energy of formation from the pure elements: -0.044 eV per atom

The following is a PBE calculation of crystalline NpAlIrRh at its relaxed geometry, from Alexandria.

a = 4.610 Å, b = 4.610 Å, c = 4.610 Å
α = 60.00°, β = 60.00°, γ = 60.00°
Atoms (fractional coordinates):
Np: 0.000 0.000 0.000
Al: 0.500 0.500 0.500
Ir: 0.250 0.250 0.250
Rh: 0.750 0.750 0.750

Summary:
Energy of formation from the pure elements: -0.483 eV per atom

The following is a PBE calculation of crystalline KOsF3 at its relaxed geometry, from Alexandria.

a = 4.627 Å, b = 4.627 Å, c = 4.627 Å
α = 90.00°, β = 90.00°, γ = 90.00°
Atoms (fractional coordinates):
K: 0.000 0.000 0.000
Os: 0.500 0.500 0.500
F: 0.000 0.000 0.500
F: 0.000 0.500 0.000
F: 0.500 0.000 0.000

Summary:
Energy relative to the lowest polymorph listed for this composition: 1231 meV per atom

The following is a PBE calculation of crystalline ScBe2Cu10 at its relaxed geometry, from Alexandria.

a = 8.245 Å, b = 6.309 Å, c = 6.255 Å
α = 82.02°, β = 49.27°, γ = 48.71°
Atoms (fractional coordinates):
Sc: 0.000 0.000 0.000
Be: 0.000 0.500 0.000
Be: 0.500 0.000 0.500
Cu: 0.000 0.000 0.500
Cu: 0.010 0.349 0.651
Cu: 0.281 0.491 0.509
Cu: 0.349 0.010 0.990
Cu: 0.491 0.281 0.719
Cu: 0.500 0.500 0.000
Cu: 0.509 0.719 0.281
Cu: 0.651 0.990 0.010
Cu: 0.719 0.509 0.491
Cu: 0.990 0.651 0.349

Summary:
Energy of formation from the pure elements: -0.101 eV per atom

The following is a PBE calculation of crystalline AcErTl at its relaxed geometry, from Alexandria.

a = 9.306 Å, b = 9.306 Å, c = 9.306 Å
α = 157.99°, β = 157.99°, γ = 31.32°
Atoms (fractional coordinates):
Ac: 0.000 0.000 0.000
Er: 0.799 0.799 0.000
Tl: 0.185 0.185 0.000

Summary:
Energy of formation from the pure elements: 0.336 eV per atom
Energy relative to the lowest polymorph listed for this composition: 588 meV per atom

The following is a PBE calculation of crystalline Tb4PrY10 at its relaxed geometry, from Alexandria.

a = 8.819 Å, b = 8.819 Å, c = 8.819 Å
α = 111.78°, β = 111.78°, γ = 104.95°
Atoms (fractional coordinates):
Tb: 0.051 0.720 0.772
Tb: 0.280 0.051 0.331
Tb: 0.720 0.949 0.669
Tb: 0.949 0.280 0.228
Pr: 0.500 0.500 0.000
Y: 0.113 0.206 0.659
Y: 0.206 0.547 0.093
Y: 0.250 0.750 0.500
Y: 0.453 0.546 0.659
Y: 0.454 0.113 0.907
Y: 0.546 0.887 0.093
Y: 0.547 0.454 0.341
Y: 0.750 0.250 0.500
Y: 0.794 0.453 0.907
Y: 0.887 0.794 0.341

Summary:
Energy of formation from the pure elements: 0.485 eV per atom

The following is a PBE calculation of crystalline Be2WAu at its relaxed geometry, from Alexandria.

a = 5.123 Å, b = 5.123 Å, c = 5.123 Å
α = 148.83°, β = 132.35°, γ = 58.04°
Atoms (fractional coordinates):
Be: 0.000 0.000 0.000
Be: 0.785 0.285 0.500
W: 0.270 0.770 0.500
Au: 0.547 0.547 0.000

Summary:
Energy of formation from the pure elements: 0.257 eV per atom
Energy relative to the lowest polymorph listed for this composition: 152 meV per atom

The following is a PBE calculation of crystalline Mg2Ag at its relaxed geometry, from Alexandria.

a = 4.723 Å, b = 4.723 Å, c = 3.064 Å
α = 90.00°, β = 90.00°, γ = 120.00°
Atoms (fractional coordinates):
Mg: 0.333 0.667 0.291
Mg: 0.667 0.333 0.709
Ag: 0.000 0.000 0.000

Summary:
Energy of formation from the pure elements: -0.111 eV per atom

The following is a PBE calculation of crystalline RbInAg2Hg at its relaxed geometry, from Alexandria.

a = 5.448 Å, b = 5.448 Å, c = 5.720 Å
α = 90.00°, β = 90.00°, γ = 90.00°
Atoms (fractional coordinates):
Rb: 0.000 0.000 0.000
In: 0.500 0.500 0.500
Ag: 0.000 0.500 0.500
Ag: 0.500 0.000 0.500
Hg: 0.500 0.500 0.000

Summary:
Energy of formation from the pure elements: 0.051 eV per atom

The following is a PBE calculation of crystalline Ce2NdAg2Pb2 at its relaxed geometry, from Alexandria.

a = 9.563 Å, b = 9.563 Å, c = 9.563 Å
α = 29.36°, β = 29.36°, γ = 29.36°
Atoms (fractional coordinates):
Ce: 0.144 0.144 0.144
Ce: 0.856 0.856 0.856
Nd: 0.000 0.000 0.000
Ag: 0.432 0.432 0.432
Ag: 0.568 0.568 0.568
Pb: 0.269 0.269 0.269
Pb: 0.731 0.731 0.731

Summary:
Energy of formation from the pure elements: -0.247 eV per atom

Number 1: density of states at the Fermi level 9.1 states/eV per cell, magnetization 0.00 μB per formula unit. Number 2: density of states at the Fermi level 3.7 states/eV per cell, magnetization 0.00 μB per formula unit. Number 3: density of states at the Fermi level 9.4 states/eV per cell, magnetization 0.71 μB per formula unit. Number 4: density of states at the Fermi level 6.8 states/eV per cell, magnetization 3.20 μB per formula unit. Number 5: density of states at the Fermi level 7.7 states/eV per cell, magnetization 4.48 μB per formula unit. Number 6: density of states at the Fermi level 4.5 states/eV per cell, magnetization 0.00 μB per formula unit. Number 7: density of states at the Fermi level 3.8 states/eV per cell, magnetization 0.13 μB per formula unit. Number 8: density of states at the Fermi level 29.5 states/eV per cell, magnetization 0.00 μB per formula unit. Number 9: density of states at the Fermi level 2.3 states/eV per cell, magnetization 0.00 μB per formula unit. Number 10: density of states at the Fermi level 0.8 states/eV per cell, magnetization 0.00 μB per formula unit. Number 11: density of states at the Fermi level 1.2 states/eV per cell, magnetization 0.00 μB per formula unit. Number 12: density of states at the Fermi level 13.2 states/eV per cell, magnetization 2.45 μB per formula unit.